A plane-wave DFT calculation with PBE was carried out for CeTaSn after structural relaxation. Values from VASP.

Calculated values
The crystal system is trigonal. As for the density of states at the Fermi level: 11.86 states/eV per cell. The calculation puts the total magnetization at 0.216 μB per atom. For the raw total energy, the calculation gives -6.818 eV per atom. The calculated formation energy is 445.5 meV/atom.

Structure (Quantum ESPRESSO input):
```
&SYSTEM
  ibrav = 0, nat = 6, ntyp = 3
/
ATOMIC_SPECIES
Ce 140.12 Ce.upf
Ta 180.95 Ta.upf
Sn 118.71 Sn.upf
ATOMIC_POSITIONS crystal
Ce 0.588 0.588 0.235
Ce 0.412 0.412 0.765
Ta 0.316 0.316 0.053
Ta 0.684 0.684 0.947
Sn 0.856 0.856 0.433
Sn 0.144 0.144 0.567
CELL_PARAMETERS angstrom
4.350 0.000 0.000
2.175 3.767 0.000
2.175 1.256 10.401
```